{
  "formula": "Na2LaCuAs",
  "functional": "GGA-PBE",
  "state": "relaxed",
  "e_tot_ev_per_atom": -3.240,
  "spacegroup": "P4/mmm, No. 123",
  "ef_mev_per_atom": 22,
  "rho_g_cm3": 4.4,
  "lattice": [[4.999, 0.000, 0.000], [0.000, 4.999, 0.000], [0.000, 0.000, 4.906]],
  "species": ["Na", "Na", "La", "Cu", "As"],
  "frac_coords": [[0.000, 0.500, 0.000], [0.500, 0.000, 0.000], [0.000, 0.000, 0.500], [0.500, 0.500, 0.000], [0.500, 0.500, 0.500]]
}